First-principles (PBE-GGA) data for an optimized crystal structure of CdIn2HgAu, as listed in Alexandria via LeMat-Bulk.

Unit cell a=5.3921 b=5.3921 c=5.3376 alpha=90.00 beta=90.00 gamma=90.00
Positions (direct):
Cd1 0.0000 0.0000 0.0000
In1 0.0000 0.5000 0.5000
In2 0.5000 0.0000 0.5000
Hg1 0.5000 0.5000 0.0000
Au1 0.0000 0.0000 0.5000

## Properties
Space group: No. 123
DOS(E_F): 2.31 states/eV/f.u.
ΔE_f: 18 kJ/mol of formula units
Crystal system: tetragonal
M_tot: 0.0 μB/f.u.
Calculated total energy: -1.957 eV/atom